1.
Density functional theory data (PBE) for a relaxed structure of SrAl2N2.

The structure belongs to space group P4/mbm (No. 127); the cell edges are 6.973, 6.973 and 2.979 Å and the angles 90.00°, 90.00° and 90.00°. The distinct sites, in fractional coordinates, are Sr at (0.000, 0.000, 0.000), Al at (0.117, 0.383, 0.500) and N at (0.119, 0.619, 0.000).

As for the formation energy (no corrections): 0.407 eV/atom. The excess energy over the best structure of this formula in the dataset comes out at 904.2 meV/atom.

---

2.
Density functional theory data (PBE) for a relaxed structure of Pu2AsCl.

The structure belongs to space group R3m (No. 160, hexagonal axes); the cell edges are 3.9233, 3.9233 and 22.6149 Å and the angles 90.00°, 90.00° and 120.00°. The distinct sites, in fractional coordinates, are Pu at (0.0000, 0.0000, 0.0000), Pu at (0.0000, 0.0000, 0.1793), As at (0.0000, 0.0000, 0.5902) and Cl at (0.0000, 0.0000, 0.4194).

As for the formation energy (no corrections): -1.050 eV/atom.

---

3.
Density functional theory data (PBE) for a relaxed structure of Np2Tl3BiS6.

The structure belongs to space group C2/m (No. 12); the cell edges are 7.086, 12.265 and 7.877 Å and the angles 90.00°, 107.38° and 90.00°. The distinct sites, in fractional coordinates, are Np at (0.000, 0.167, 0.000), Tl at (0.000, 0.000, 0.500), Tl at (0.000, 0.334, 0.500), Bi at (0.000, 0.500, 0.000), S at (0.220, 0.000, 0.198) and S at (0.239, 0.327, 0.199).

As for the formation energy (no corrections): -0.815 eV/atom.

---

4.
Density functional theory data (PBE) for a relaxed structure of PrHoTh2.

The structure belongs to space group P4/mmm (No. 123); the cell edges are 5.031, 5.031 and 5.178 Å and the angles 90.00°, 90.00° and 90.00°. The distinct sites, in fractional coordinates, are Pr at (0.000, 0.000, 0.000), Ho at (0.500, 0.500, 0.000) and Th at (0.000, 0.500, 0.500).

The energy relative to the elements comes out at 74 meV per atom. The excess energy over the best structure of this formula in the dataset comes out at 44.0 meV/atom.

---

5.
Density functional theory data (PBE) for a relaxed structure of ZrMnSe2N.

The structure belongs to space group P4/mmm (No. 123); the cell edges are 4.944, 4.944 and 3.497 Å and the angles 90.00°, 90.00° and 90.00°. The distinct sites, in fractional coordinates, are Zr at (0.000, 0.000, 0.000), Mn at (0.500, 0.500, 0.500), Se at (0.000, 0.500, 0.500) and N at (0.500, 0.500, 0.000).

As for the formation energy (no corrections): -0.199 eV/atom. The excess energy over the best structure of this formula in the dataset comes out at 0.0 meV/atom.

---

6.
Density functional theory data (PBE) for a relaxed structure of Li2UMoN4.

The structure belongs to space group Cmcm (No. 63); the cell edges are 3.228, 12.263 and 9.362 Å and the angles 90.00°, 90.00° and 90.00°. The distinct sites, in fractional coordinates, are Li at (0.000, 0.090, 0.039), U at (0.000, 0.455, 0.250), Mo at (0.000, 0.282, 0.750), N at (0.000, 0.097, 0.250), N at (0.000, 0.183, 0.613) and N at (0.000, 0.500, 0.000).

As for the formation energy (no corrections): -0.471 eV/atom.

---

7.
Density functional theory data (PBE) for a relaxed structure of ZrRu2.

The structure belongs to space group I4/mmm (No. 139); the cell edges are 3.243, 3.243 and 9.465 Å and the angles 90.00°, 90.00° and 90.00°. The distinct sites, in fractional coordinates, are Zr at (0.000, 0.000, 0.000) and Ru at (0.000, 0.000, 0.338).

The energy relative to the elements comes out at -54 meV per atom.

---

8.
Density functional theory data (PBE) for a relaxed structure of LaMg2Zn2Ge2.

The structure belongs to space group R-3m (No. 166, hexagonal axes); the cell edges are 4.5379, 4.5379 and 24.0468 Å and the angles 90.00°, 90.00° and 120.00°. The distinct sites, in fractional coordinates, are La at (0.0000, 0.0000, 0.0000), Mg at (0.0000, 0.0000, 0.1390), Zn at (0.0000, 0.0000, 0.4395) and Ge at (0.0000, 0.0000, 0.2555).

The energy relative to the elements comes out at -323 meV per atom.

---

9.
Density functional theory data (PBE) for a relaxed structure of Ce2Pu2N3.

The structure belongs to space group C2/m (No. 12); the cell edges are 13.150, 3.505 and 5.984 Å and the angles 90.00°, 114.96° and 90.00°. The distinct sites, in fractional coordinates, are Ce at (0.126, 0.000, 0.291), Pu at (0.131, 0.500, 0.813), N at (0.000, 0.500, 0.000) and N at (0.242, 0.000, 0.751).

As for the formation energy (no corrections): -1.092 eV/atom.

---

10.
Density functional theory data (PBE) for a relaxed structure of Mg2VBi2.

The structure belongs to space group P4/mbm (No. 127); the cell edges are 7.609, 7.609 and 4.419 Å and the angles 90.00°, 90.00° and 90.00°. The distinct sites, in fractional coordinates, are Mg at (0.150, 0.350, 0.000), V at (0.000, 0.000, 0.500) and Bi at (0.160, 0.660, 0.500).

The energy relative to the elements comes out at 226 meV per atom.

---

11.
Density functional theory data (PBE) for a relaxed structure of Ac2MgHg2.

The structure belongs to space group Immm (No. 71); the cell edges are 4.674, 6.925 and 9.815 Å and the angles 90.00°, 90.00° and 90.00°. The distinct sites, in fractional coordinates, are Ac at (0.000, 0.000, 0.202), Mg at (0.000, 0.500, 0.000) and Hg at (0.000, 0.263, 0.500).

The energy relative to the elements comes out at -370 meV per atom. The excess energy over the best structure of this formula in the dataset comes out at 12.6 meV/atom.

---

12.
Density functional theory data (PBE) for a relaxed structure of ScSb2Pb.

The structure belongs to space group I-42d (No. 122); the cell edges are 6.677, 6.677 and 14.074 Å and the angles 90.00°, 90.00° and 90.00°. The distinct sites, in fractional coordinates, are Sc at (0.000, 0.000, 0.000), Sb at (0.225, 0.250, 0.125) and Pb at (0.000, 0.000, 0.500).

As for the formation energy (no corrections): -0.131 eV/atom.

---

Number 1: calculated volume 14.483 Å³ per atom. Number 2: calculated volume 25.121 Å³ per atom. Number 3: calculated volume 27.223 Å³ per atom. Number 4: calculated volume 32.766 Å³ per atom. Number 5: calculated volume 17.100 Å³ per atom. Number 6: calculated volume 11.582 Å³ per atom. Number 7: calculated volume 16.590 Å³ per atom. Number 8: calculated volume 20.421 Å³ per atom. Number 9: calculated volume 17.862 Å³ per atom. Number 10: calculated volume 25.582 Å³ per atom. Number 11: calculated volume 31.768 Å³ per atom. Number 12: calculated volume 39.213 Å³ per atom.